# MoAs3Se GGA-PBE optimized geometry
# Energy above the lowest structure with this stoichiometry, kcal/mol of atoms: 0.00
# Energy relative to the elements, uncorrected, eV/atom: 0.4240
# DOS at the Fermi energy, states/eV/f.u.: 3.092
data_MoAs3Se
_symmetry_space_group_name_H-M 'P 1'
_symmetry_Int_Tables_number 1
_cell_length_a 4.8617
_cell_length_b 4.8617
_cell_length_c 4.8617
_cell_angle_alpha 90.00
_cell_angle_beta 90.00
_cell_angle_gamma 90.00
loop_
_symmetry_equiv_pos_as_xyz
'x,y,z'
loop_
_atom_site_label
_atom_site_type_symbol
_atom_site_fract_x
_atom_site_fract_y
_atom_site_fract_z
Mo1 Mo 0.0000 0.0000 0.0000
As1 As 0.0000 0.5000 0.0000
As2 As 0.0000 0.0000 0.5000
As3 As 0.5000 0.0000 0.0000
Se1 Se 0.5000 0.5000 0.5000



# Mo2AsSe GGA-PBE optimized geometry
# Energy above the lowest structure with this stoichiometry, kcal/mol of atoms: 4.79
# Energy relative to the elements, uncorrected, eV/atom: 0.1381
# DOS at the Fermi energy, states/eV/f.u.: 2.810
data_Mo2AsSe
_symmetry_space_group_name_H-M 'P 1'
_symmetry_Int_Tables_number 1
_cell_length_a 4.3127
_cell_length_b 4.3127
_cell_length_c 5.3996
_cell_angle_alpha 77.24
_cell_angle_beta 77.24
_cell_angle_gamma 42.34
loop_
_symmetry_equiv_pos_as_xyz
'x,y,z'
loop_
_atom_site_label
_atom_site_type_symbol
_atom_site_fract_x
_atom_site_fract_y
_atom_site_fract_z
Mo1 Mo 0.9958 0.9958 0.9788
Mo2 Mo 0.5042 0.5042 0.5212
As1 As 0.7500 0.7500 0.7500
Se1 Se 0.2500 0.2500 0.2500



# MoAsSe2 GGA-PBE optimized geometry
# Energy relative to the elements, uncorrected, eV/atom: 0.1805
# DOS at the Fermi energy, states/eV/f.u.: 2.475
data_MoAsSe2
_symmetry_space_group_name_H-M 'P 1'
_symmetry_Int_Tables_number 1
_cell_length_a 4.4554
_cell_length_b 4.4554
_cell_length_c 5.7172
_cell_angle_alpha 83.22
_cell_angle_beta 83.22
_cell_angle_gamma 43.20
loop_
_symmetry_equiv_pos_as_xyz
'x,y,z'
loop_
_atom_site_label
_atom_site_type_symbol
_atom_site_fract_x
_atom_site_fract_y
_atom_site_fract_z
Mo1 Mo 0.2500 0.2500 0.2500
As1 As 0.7500 0.7500 0.7500
Se1 Se 0.9653 0.9653 0.0422
Se2 Se 0.5347 0.5347 0.4578



# Mo2AsSe GGA-PBE optimized geometry
# Energy above the lowest structure with this stoichiometry, kcal/mol of atoms: 14.30
# Energy relative to the elements, uncorrected, eV/atom: 0.5506
# DOS at the Fermi energy, states/eV/f.u.: 4.784
data_Mo2AsSe
_symmetry_space_group_name_H-M 'P 1'
_symmetry_Int_Tables_number 1
_cell_length_a 4.5474
_cell_length_b 4.5474
_cell_length_c 4.5474
_cell_angle_alpha 60.00
_cell_angle_beta 60.00
_cell_angle_gamma 60.00
loop_
_symmetry_equiv_pos_as_xyz
'x,y,z'
loop_
_atom_site_label
_atom_site_type_symbol
_atom_site_fract_x
_atom_site_fract_y
_atom_site_fract_z
Mo1 Mo 0.0000 0.0000 0.0000
Mo2 Mo 0.2500 0.2500 0.2500
As1 As 0.5000 0.5000 0.5000
Se1 Se 0.7500 0.7500 0.7500



# MoAsSe2 GGA-PBE optimized geometry
# Energy relative to the elements, uncorrected, eV/atom: 0.1350
# DOS at the Fermi energy, states/eV/f.u.: 2.920
data_MoAsSe2
_symmetry_space_group_name_H-M 'P 1'
_symmetry_Int_Tables_number 1
_cell_length_a 4.6306
_cell_length_b 4.3389
_cell_length_c 4.3407
_cell_angle_alpha 70.16
_cell_angle_beta 90.00
_cell_angle_gamma 90.00
loop_
_symmetry_equiv_pos_as_xyz
'x,y,z'
loop_
_atom_site_label
_atom_site_type_symbol
_atom_site_fract_x
_atom_site_fract_y
_atom_site_fract_z
Mo1 Mo 0.5000 0.7118 0.7117
As1 As 0.0000 0.5588 0.5584
Se1 Se 0.0000 0.9169 0.9172
Se2 Se 0.5000 0.3126 0.3126



# MoAsSe2 GGA-PBE optimized geometry
# Energy relative to the elements, uncorrected, eV/atom: 0.0845
# DOS at the Fermi energy, states/eV/f.u.: 2.676
data_MoAsSe2
_symmetry_space_group_name_H-M 'P 1'
_symmetry_Int_Tables_number 1
_cell_length_a 6.7771
_cell_length_b 6.7771
_cell_length_c 6.7771
_cell_angle_alpha 153.09
_cell_angle_beta 142.25
_cell_angle_gamma 46.97
loop_
_symmetry_equiv_pos_as_xyz
'x,y,z'
loop_
_atom_site_label
_atom_site_type_symbol
_atom_site_fract_x
_atom_site_fract_y
_atom_site_fract_z
Mo1 Mo 0.2331 0.7331 0.5000
As1 As 0.4079 0.4079 0.0000
Se1 Se 0.0757 0.0757 0.0000
Se2 Se 0.7833 0.2833 0.5000



# Mo4AsSe GGA-PBE optimized geometry
# Energy relative to the elements, uncorrected, eV/atom: 0.6338
# DOS at the Fermi energy, states/eV/f.u.: 5.439
data_Mo4AsSe
_symmetry_space_group_name_H-M 'P 1'
_symmetry_Int_Tables_number 1
_cell_length_a 5.2762
_cell_length_b 5.2762
_cell_length_c 5.2762
_cell_angle_alpha 60.00
_cell_angle_beta 60.00
_cell_angle_gamma 60.00
loop_
_symmetry_equiv_pos_as_xyz
'x,y,z'
loop_
_atom_site_label
_atom_site_type_symbol
_atom_site_fract_x
_atom_site_fract_y
_atom_site_fract_z
Mo1 Mo 0.6240 0.6240 0.1280
Mo2 Mo 0.6240 0.1280 0.6240
Mo3 Mo 0.6240 0.6240 0.6240
Mo4 Mo 0.1280 0.6240 0.6240
As1 As 0.0000 0.0000 0.0000
Se1 Se 0.2500 0.2500 0.2500



# MoAsSe2 GGA-PBE optimized geometry
# Energy relative to the elements, uncorrected, eV/atom: -0.1267
# DOS at the Fermi energy, states/eV/f.u.: 3.286
data_MoAsSe2
_symmetry_space_group_name_H-M 'P 1'
_symmetry_Int_Tables_number 1
_cell_length_a 4.8455
_cell_length_b 4.8455
_cell_length_c 6.3009
_cell_angle_alpha 77.03
_cell_angle_beta 77.03
_cell_angle_gamma 40.30
loop_
_symmetry_equiv_pos_as_xyz
'x,y,z'
loop_
_atom_site_label
_atom_site_type_symbol
_atom_site_fract_x
_atom_site_fract_y
_atom_site_fract_z
Mo1 Mo 0.2964 0.2964 0.3613
As1 As 0.5788 0.5788 0.3893
Se1 Se 0.9096 0.9096 0.0614
Se2 Se 0.7152 0.7152 0.6879



# Mo2AsSe GGA-PBE optimized geometry
# Energy above the lowest structure with this stoichiometry, kcal/mol of atoms: 0.00
# Energy relative to the elements, uncorrected, eV/atom: -0.0695
# DOS at the Fermi energy, states/eV/f.u.: 3.187
data_Mo2AsSe
_symmetry_space_group_name_H-M 'P 1'
_symmetry_Int_Tables_number 1
_cell_length_a 4.6510
_cell_length_b 3.1383
_cell_length_c 4.4609
_cell_angle_alpha 89.99
_cell_angle_beta 90.00
_cell_angle_gamma 90.00
loop_
_symmetry_equiv_pos_as_xyz
'x,y,z'
loop_
_atom_site_label
_atom_site_type_symbol
_atom_site_fract_x
_atom_site_fract_y
_atom_site_fract_z
Mo1 Mo 0.0000 0.8750 0.0170
Mo2 Mo 0.5000 0.3750 0.2356
As1 As 0.5000 0.8752 0.7621
Se1 Se 0.0000 0.3748 0.4853



# Mo2AsSe GGA-PBE optimized geometry
# Energy above the lowest structure with this stoichiometry, kcal/mol of atoms: 4.91
# Energy relative to the elements, uncorrected, eV/atom: 0.1436
# DOS at the Fermi energy, states/eV/f.u.: 3.278
data_Mo2AsSe
_symmetry_space_group_name_H-M 'P 1'
_symmetry_Int_Tables_number 1
_cell_length_a 8.0316
_cell_length_b 8.0316
_cell_length_c 8.0316
_cell_angle_alpha 22.21
_cell_angle_beta 22.21
_cell_angle_gamma 22.21
loop_
_symmetry_equiv_pos_as_xyz
'x,y,z'
loop_
_atom_site_label
_atom_site_type_symbol
_atom_site_fract_x
_atom_site_fract_y
_atom_site_fract_z
Mo1 Mo 0.0011 0.0011 0.0011
Mo2 Mo 0.4989 0.4989 0.4989
As1 As 0.7500 0.7500 0.7500
Se1 Se 0.2500 0.2500 0.2500



# MoAsSe2 GGA-PBE optimized geometry
# Energy relative to the elements, uncorrected, eV/atom: 0.4944
# DOS at the Fermi energy, states/eV/f.u.: 3.190
data_MoAsSe2
_symmetry_space_group_name_H-M 'P 1'
_symmetry_Int_Tables_number 1
_cell_length_a 4.9200
_cell_length_b 4.9200
_cell_length_c 4.9200
_cell_angle_alpha 128.86
_cell_angle_beta 128.86
_cell_angle_gamma 75.24
loop_
_symmetry_equiv_pos_as_xyz
'x,y,z'
loop_
_atom_site_label
_atom_site_type_symbol
_atom_site_fract_x
_atom_site_fract_y
_atom_site_fract_z
Mo1 Mo 0.7500 0.2500 0.5000
As1 As 0.5000 0.5000 0.0000
Se1 Se 0.0000 0.0000 0.0000
Se2 Se 0.2500 0.7500 0.5000



# MoAsSe2 GGA-PBE optimized geometry
# Energy relative to the elements, uncorrected, eV/atom: 0.0511
# DOS at the Fermi energy, states/eV/f.u.: 3.317
data_MoAsSe2
_symmetry_space_group_name_H-M 'P 1'
_symmetry_Int_Tables_number 1
_cell_length_a 3.0310
_cell_length_b 3.0310
_cell_length_c 8.8861
_cell_angle_alpha 90.00
_cell_angle_beta 90.00
_cell_angle_gamma 90.00
loop_
_symmetry_equiv_pos_as_xyz
'x,y,z'
loop_
_atom_site_label
_atom_site_type_symbol
_atom_site_fract_x
_atom_site_fract_y
_atom_site_fract_z
Mo1 Mo 0.5000 0.5000 0.7500
As1 As 0.5000 0.5000 0.2500
Se1 Se 0.0000 0.0000 0.9269
Se2 Se 0.0000 0.0000 0.5731



# Mo2AsSe GGA-PBE optimized geometry
# Energy above the lowest structure with this stoichiometry, kcal/mol of atoms: 1.04
# Energy relative to the elements, uncorrected, eV/atom: -0.0242
# DOS at the Fermi energy, states/eV/f.u.: 3.256
data_Mo2AsSe
_symmetry_space_group_name_H-M 'P 1'
_symmetry_Int_Tables_number 1
_cell_length_a 4.7237
_cell_length_b 5.7508
_cell_length_c 5.7537
_cell_angle_alpha 147.53
_cell_angle_beta 128.47
_cell_angle_gamma 64.37
loop_
_symmetry_equiv_pos_as_xyz
'x,y,z'
loop_
_atom_site_label
_atom_site_type_symbol
_atom_site_fract_x
_atom_site_fract_y
_atom_site_fract_z
Mo1 Mo 0.9480 0.0075 0.9393
Mo2 Mo 0.7883 0.2440 0.5444
As1 As 0.2994 0.7398 0.5560
Se1 Se 0.4643 0.5088 0.9602



# MoAsSe2 GGA-PBE optimized geometry
# Energy relative to the elements, uncorrected, eV/atom: 0.0879
# DOS at the Fermi energy, states/eV/f.u.: 3.099
data_MoAsSe2
_symmetry_space_group_name_H-M 'P 1'
_symmetry_Int_Tables_number 1
_cell_length_a 6.8008
_cell_length_b 6.8008
_cell_length_c 6.8008
_cell_angle_alpha 152.99
_cell_angle_beta 143.47
_cell_angle_gamma 46.02
loop_
_symmetry_equiv_pos_as_xyz
'x,y,z'
loop_
_atom_site_label
_atom_site_type_symbol
_atom_site_fract_x
_atom_site_fract_y
_atom_site_fract_z
Mo1 Mo 0.2500 0.7500 0.5000
As1 As 0.7500 0.2500 0.5000
Se1 Se 0.0835 0.0835 0.0000
Se2 Se 0.4165 0.4165 0.0000